1.
## Ca2TlPt2 (PBE)

Data for a geometry-optimized Ca2TlPt2 structure.

Results
D(E_F): 3.5 states/eV/cell
M_tot: 0.00 μB per formula unit
Calculated density: 8.72 g cm⁻³
Electronic total energy: -4.203 eV/atom

Unit cell a=3.794 b=3.794 c=9.317 alpha=78.25 beta=78.25 gamma=90.00
Fractional positions:
Pt 0.250 0.750 0.500
Ca 0.624 0.624 0.753
Ca 0.376 0.376 0.247
Pt 0.750 0.250 0.500
Tl 0.000 0.000 0.000


2.
## CaTlPt (PBE)

Data for a geometry-optimized CaTlPt structure.

Results
D(E_F): 2.3 states/eV/cell
M_tot: 0.00 μB per formula unit
Calculated density: 10.10 g cm⁻³
Electronic total energy: -3.981 eV/atom

Unit cell a=4.768 b=4.768 c=3.672 alpha=90.00 beta=90.00 gamma=120.00
Fractional positions:
Pt 0.667 0.333 0.500
Ca 0.000 0.000 0.000
Tl 0.333 0.667 0.500


3.
## Ca2TlPt (PBE)

Data for a geometry-optimized Ca2TlPt structure.

Results
Distance to the lowest polymorph of the same formula: 280 meV per atom
D(E_F): 2.6 states/eV/cell
M_tot: 0.00 μB per formula unit
Calculated density: 7.34 g cm⁻³
Electronic total energy: -3.479 eV/atom

Unit cell a=4.058 b=4.068 c=6.569 alpha=90.00 beta=90.00 gamma=90.00
Fractional positions:
Tl 0.500 0.500 0.767
Ca 0.500 0.500 0.316
Ca 0.000 0.000 0.980
Pt 0.000 0.000 0.437


4.
## CaTlPt2 (PBE)

Data for a geometry-optimized CaTlPt2 structure.

Results
D(E_F): 1.7 states/eV/cell
M_tot: 0.00 μB per formula unit
Calculated density: 12.70 g cm⁻³
Electronic total energy: -4.460 eV/atom

Unit cell a=3.697 b=3.906 c=5.746 alpha=90.00 beta=90.00 gamma=90.00
Fractional positions:
Tl 0.000 0.000 0.464
Pt 0.500 0.500 0.271
Pt 0.000 0.000 0.983
Ca 0.500 0.500 0.782